(1)
Dy5CuNi2, relaxed, DFT PBE; final energy = -81.64 eV for the cell shown; formation enthalpy at 0 K = -208 kJ/mol of formula units; M_tot = 0.00 μB per cell
1.0
-3.795 3.795 6.387
3.795 -3.795 6.387
3.795 3.795 -6.387
Dy Cu Ni
10 2 4
Direct
0.000 0.000 0.000
0.024 0.524 0.826
0.197 0.024 0.500
0.303 0.803 0.826
0.476 0.303 0.500
0.500 0.500 0.000
0.524 0.697 0.500
0.697 0.197 0.174
0.803 0.976 0.500
0.976 0.476 0.174
0.250 0.250 0.000
0.750 0.750 0.000
0.125 0.375 0.500
0.375 0.875 0.250
0.625 0.125 0.750
0.875 0.625 0.500

***

(2)
Dy8Cu2Ni, relaxed, DFT PBE; final energy = -50.99 eV for the cell shown; formation enthalpy at 0 K = -19 kJ/mol of formula units; M_tot = 0.00 μB per cell; offset from the most stable computed form = 11.0 kJ/mol of atoms
1.0
4.118 -6.521 0.000
4.118 6.521 0.000
-2.250 0.000 5.480
Dy Cu Ni
8 2 1
Direct
0.000 0.000 0.000
0.013 0.268 0.587
0.170 0.557 0.202
0.268 0.013 0.587
0.455 0.711 0.836
0.557 0.170 0.202
0.711 0.455 0.836
0.721 0.721 0.393
0.049 0.659 0.690
0.659 0.049 0.690
0.358 0.358 0.001

***

(3)
Dy2Cu2Ni, relaxed, DFT PBE; final energy = -49.58 eV for the cell shown; formation enthalpy at 0 K = -155 kJ/mol of formula units; M_tot = 0.00 μB per cell
1.0
4.932 -1.946 0.000
4.932 1.946 0.000
-4.164 0.000 9.876
Dy Cu Ni
4 4 2
Direct
0.010 0.010 0.340
0.194 0.194 0.121
0.806 0.806 0.879
0.990 0.990 0.660
0.346 0.346 0.448
0.479 0.479 0.111
0.521 0.521 0.889
0.654 0.654 0.552
0.291 0.291 0.677
0.709 0.709 0.323

***

(4)
DyCu10Ni2, relaxed, DFT PBE; final energy = -58.45 eV for the cell shown; formation enthalpy at 0 K = -127 kJ/mol of formula units; M_tot = 0.00 μB per cell
1.0
0.000 5.915 5.974
2.413 0.000 5.974
2.413 5.915 0.000
Dy Cu Ni
1 10 2
Direct
0.000 0.000 0.000
0.000 0.500 0.000
0.004 0.647 0.353
0.278 0.501 0.499
0.353 0.996 0.004
0.499 0.722 0.278
0.500 0.000 0.500
0.501 0.278 0.722
0.647 0.004 0.996
0.722 0.499 0.501
0.996 0.353 0.647
0.000 0.000 0.500
0.500 0.500 0.000

***

(5)
Dy3Cu2Ni3, relaxed, DFT PBE; final energy = -84.46 eV for the cell shown; formation enthalpy at 0 K = -279 kJ/mol of formula units; M_tot = 0.00 μB per cell; offset from the most stable computed form = 0.0 kJ/mol of atoms
1.0
2.012 -5.192 0.000
2.012 5.192 0.000
0.000 0.000 13.760
Dy Cu Ni
6 4 6
Direct
0.089 0.911 0.606
0.089 0.911 0.894
0.366 0.634 0.750
0.634 0.366 0.250
0.911 0.089 0.106
0.911 0.089 0.394
0.209 0.791 0.096
0.209 0.791 0.404
0.791 0.209 0.596
0.791 0.209 0.904
0.342 0.658 0.250
0.397 0.603 0.539
0.397 0.603 0.961
0.603 0.397 0.039
0.603 0.397 0.461
0.658 0.342 0.750

***

(6)
Dy2Cu5Ni4, relaxed, DFT PBE; final energy = -54.92 eV for the cell shown; formation enthalpy at 0 K = -203 kJ/mol of formula units; M_tot = 0.00 μB per cell
1.0
0.000 4.203 7.949
2.477 0.000 7.949
2.477 4.203 0.000
Dy Cu Ni
2 5 4
Direct
0.134 0.134 0.866
0.866 0.866 0.134
0.000 0.000 0.500
0.250 0.250 0.250
0.500 0.500 0.000
0.500 0.500 0.500
0.750 0.750 0.750
0.212 0.534 0.466
0.466 0.788 0.212
0.534 0.212 0.788
0.788 0.466 0.534

***

(7)
DyCuNi4, relaxed, DFT PBE; final energy = -33.50 eV for the cell shown; formation enthalpy at 0 K = -161 kJ/mol of formula units; M_tot = 1.09 μB per cell; offset from the most stable computed form = 0.0 kJ/mol of atoms
1.0
0.000 3.436 3.436
3.436 0.000 3.436
3.436 3.436 0.000
Dy Cu Ni
1 1 4
Direct
0.000 0.000 0.000
0.750 0.750 0.750
0.376 0.376 0.376
0.376 0.376 0.872
0.376 0.872 0.376
0.872 0.376 0.376

***

(8)
Dy6CuNi2, relaxed, DFT PBE; final energy = -91.06 eV for the cell shown; formation enthalpy at 0 K = -218 kJ/mol of formula units; M_tot = 0.00 μB per cell
1.0
-4.663 4.728 4.884
4.663 -4.728 4.884
4.663 4.728 -4.884
Dy Cu Ni
12 2 4
Direct
0.056 0.244 0.813
0.177 0.274 0.452
0.177 0.726 0.903
0.326 0.017 0.691
0.326 0.636 0.309
0.431 0.244 0.187
0.569 0.756 0.813
0.674 0.364 0.691
0.674 0.983 0.309
0.823 0.274 0.097
0.823 0.726 0.548
0.944 0.756 0.187
0.000 0.000 0.000
0.500 0.500 0.000
0.119 0.619 0.500
0.342 0.000 0.342
0.658 0.000 0.658
0.881 0.381 0.500

***

(9)
DyCuNi4, relaxed, DFT PBE; final energy = -65.05 eV for the cell shown; formation enthalpy at 0 K = -67 kJ/mol of formula units; M_tot = 0.03 μB per cell; offset from the most stable computed form = 15.6 kJ/mol of atoms
1.0
1.888 -7.413 0.000
1.888 7.413 0.000
0.000 0.000 5.947
Dy Cu Ni
2 2 8
Direct
0.110 0.890 0.750
0.890 0.110 0.250
0.235 0.765 0.250
0.765 0.235 0.750
0.074 0.926 0.250
0.335 0.665 0.559
0.335 0.665 0.941
0.500 0.500 0.000
0.500 0.500 0.500
0.665 0.335 0.059
0.665 0.335 0.441
0.926 0.074 0.750

***

(10)
DyCu3Ni, relaxed, DFT PBE; final energy = -43.98 eV for the cell shown; formation enthalpy at 0 K = 66 kJ/mol of formula units; M_tot = 0.00 μB per cell; offset from the most stable computed form = 30.2 kJ/mol of atoms
1.0
-2.416 2.416 7.866
2.416 -2.416 7.866
2.416 2.416 -7.866
Dy Cu Ni
2 6 2
Direct
0.177 0.177 0.000
0.823 0.823 0.000
0.374 0.622 0.753
0.378 0.131 0.753
0.378 0.626 0.247
0.538 0.038 0.500
0.869 0.622 0.247
0.962 0.462 0.500
0.250 0.750 0.500
0.500 0.500 0.000

***

(11)
Dy3Cu4Ni4, relaxed, DFT PBE; final energy = -54.68 eV for the cell shown; formation enthalpy at 0 K = -131 kJ/mol of formula units; M_tot = 0.00 μB per cell
1.0
-3.602 3.602 3.602
3.602 -3.602 3.602
3.602 3.602 -3.602
Dy Cu Ni
3 4 4
Direct
0.000 0.500 0.500
0.500 0.000 0.500
0.500 0.500 0.000
0.000 0.000 0.243
0.000 0.243 0.000
0.243 0.000 0.000
0.757 0.757 0.757
0.000 0.000 0.603
0.000 0.603 0.000
0.397 0.397 0.397
0.603 0.000 0.000

***

(12)
Dy6Cu5Ni, relaxed, DFT PBE; final energy = -57.22 eV for the cell shown; formation enthalpy at 0 K = -323 kJ/mol of formula units; M_tot = 0.00 μB per cell
1.0
2.441 -7.334 0.000
2.441 7.334 0.000
0.000 0.000 6.897
Dy Cu Ni
6 5 1
Direct
0.000 0.000 0.245
0.000 0.000 0.755
0.336 0.664 0.248
0.336 0.664 0.752
0.664 0.336 0.248
0.664 0.336 0.752
0.167 0.833 0.500
0.170 0.830 0.000
0.500 0.500 0.500
0.830 0.170 0.000
0.833 0.167 0.500
0.500 0.500 0.000